(1)
! HfAgRh | Alexandria | GGA-PBE | optimized geometry; values from VASP
! Total energy, eV/f.u.: -21.55
! Crystal system: tetragonal
! Energy above the most stable polymorph in this dataset, kJ/mol of formula units: 0
&SYSTEM
  ibrav = 0, nat = 3, ntyp = 3
/
ATOMIC_SPECIES
Rh 102.91 Rh.upf
Hf 178.49 Hf.upf
Ag 107.87 Ag.upf
ATOMIC_POSITIONS angstrom
Rh 1.7018 1.7018 0.9341
Hf 1.7018 1.7018 4.2621
Ag 0.0000 0.0000 2.5874
CELL_PARAMETERS angstrom
3.4036 0.0000 0.0000
0.0000 3.4036 0.0000
-1.7018 -1.7018 4.5786

(2)
! YHg2As | Alexandria | GGA-PBE | optimized geometry; values from VASP
! Total energy, eV/f.u.: -12.81
! Crystal system: trigonal
&SYSTEM
  ibrav = 0, nat = 4, ntyp = 3
/
ATOMIC_SPECIES
Y 88.91 Y.upf
As 74.92 As.upf
Hg 200.59 Hg.upf
ATOMIC_POSITIONS angstrom
Y 3.5977 1.5352 0.9943
As 10.7931 4.6055 2.9829
Hg 0.1332 0.0568 0.0368
Hg 7.0622 3.0135 1.9518
CELL_PARAMETERS angstrom
6.0051 0.0524 0.0339
4.1929 4.2992 0.0339
4.1929 1.7891 3.9094

| no. | M_tot (μB per atom) | energy of formation from the pure elements (eV per atom) |
| --- | --- | --- |
| 1 | 0.00 | -0.463 |
| 2 | 0.00 | -0.272 |